Entry 1:
Entry from Alexandria: Li5Ca2InRh2 after structural relaxation (GGA-PBE).

a b c (Å): 9.7660 9.7660 4.1086
angles (deg): 90.00 90.00 90.00
Last column: nearest neighbours and their distance in Å.
Fractional coordinates of all 20 atoms:
Li1 0.0000 0.5000 0.0000  4 Rh 2.67, 4 Li 2.88
Li2 0.0723 0.2143 0.0000  2 Rh 2.64, 2 Li 2.88-2.95
Li3 0.2143 0.9277 0.0000  2 Rh 2.64, 2 Li 2.88-2.95
Li4 0.2857 0.4277 0.0000  2 Rh 2.64, 2 Li 2.88-2.95
Li5 0.4277 0.7143 0.0000  2 Rh 2.64, 2 Li 2.88-2.95
Li6 0.5000 0.0000 0.0000  4 Rh 2.67, 4 Li 2.88
Li7 0.5723 0.2857 0.0000  2 Rh 2.64, 2 Li 2.88-2.95
Li8 0.7143 0.5723 0.0000  2 Rh 2.64, 2 Li 2.88-2.95
Li9 0.7857 0.0723 0.0000  2 Rh 2.64, 2 Li 2.88-2.95
Li10 0.9277 0.7857 0.0000  2 Rh 2.64, 2 Li 2.88-2.95
Ca1 0.1692 0.6692 0.5000  3 Rh 2.86-2.90, 2 Li 3.11
Ca2 0.3308 0.1692 0.5000  3 Rh 2.86-2.90, 2 Li 3.11
Ca3 0.6692 0.8308 0.5000  3 Rh 2.86-2.90, 2 Li 3.11
Ca4 0.8308 0.3308 0.5000  3 Rh 2.86-2.90, 2 Li 3.11
In1 0.0000 0.0000 0.5000  8 Li 3.02
In2 0.5000 0.5000 0.5000  8 Li 3.02
Rh1 0.1237 0.3763 0.5000  6 Li 2.64-2.67, 3 Ca 2.86-2.90
Rh2 0.3763 0.8763 0.5000  6 Li 2.64-2.67, 3 Ca 2.86-2.90
Rh3 0.6237 0.1237 0.5000  6 Li 2.64-2.67, 3 Ca 2.86-2.90
Rh4 0.8763 0.6237 0.5000  6 Li 2.64-2.67, 3 Ca 2.86-2.90

Results
* space group: P4/mbm, No. 127
* mass density: 3.7 g cm⁻³
* energy: -3.277 eV/atom
* energy of formation: -0.175 eV/atom

Entry 2:
Entry from Alexandria: LiCaInRu after structural relaxation (GGA-PBE).

a b c (Å): 4.7746 4.7746 4.7746
angles (deg): 60.00 60.00 60.00
Last column: nearest neighbours and their distance in Å.
Fractional coordinates of all 4 atoms:
Li1 0.0000 0.0000 0.0000  4 In 2.92, 4 Ca 2.92
Ca1 0.2500 0.2500 0.2500  4 Li 2.92, 4 Ru 2.92
In1 0.7500 0.7500 0.7500  4 Li 2.92, 4 Ru 2.92
Ru1 0.5000 0.5000 0.5000  4 In 2.92, 4 Ca 2.92

Results
* space group: F-43m, No. 216
* mass density: 5.7 g cm⁻³
* energy: -4.048 eV/atom
* energy of formation: -0.066 eV/atom

> Which of these has the highest mass density?

LiCaInRu